Entry 1:
The following is a DFT calculation (PBE) of an optimized crystal structure of Np2BiPt.

Cell lengths 7.454, 7.454, 7.454 Å; angles 33.35, 33.35, 33.35 degrees
Sites, in units of the cell vectors:
Np 0.236 0.236 0.236
Np 0.764 0.764 0.764
Bi 0.000 0.000 0.000
Pt 0.500 0.500 0.500

Calculated values
DOS(E_F) = 19.156 states/eV per cell
Total DFT energy (no corrections) = -36.16 eV/cell
Crystal system = trigonal
Formation energy = -0.090 eV/atom

---

Entry 2:
The following is a DFT calculation (PBE) of an optimized crystal structure of BeIn3Hg.

Cell lengths 5.561, 5.561, 5.561 Å; angles 90.00, 90.00, 90.00 degrees
Sites, in units of the cell vectors:
Be 0.000 0.000 0.000
In 0.000 0.500 0.500
In 0.500 0.000 0.500
In 0.500 0.500 0.000
Hg 0.500 0.500 0.500

Calculated values
DOS(E_F) = 2.718 states/eV per cell
Total DFT energy (no corrections) = -7.77 eV/cell
Crystal system = cubic
Formation energy = 0.895 eV/atom

---

Entry 3:
The following is a DFT calculation (PBE) of an optimized crystal structure of RuPb3O6.

Cell lengths 8.007, 8.007, 6.130 Å; angles 90.00, 90.00, 105.27 degrees
Sites, in units of the cell vectors:
Ru 0.194 0.806 0.500
Ru 0.806 0.194 0.000
Pb 0.122 0.304 0.469
Pb 0.304 0.122 0.969
Pb 0.404 0.596 0.951
Pb 0.596 0.404 0.451
Pb 0.696 0.878 0.469
Pb 0.878 0.696 0.969
O 0.058 0.942 0.583
O 0.108 0.593 0.618
O 0.208 0.792 0.211
O 0.340 0.351 0.212
O 0.351 0.340 0.712
O 0.407 0.892 0.618
O 0.593 0.108 0.118
O 0.649 0.660 0.212
O 0.660 0.649 0.712
O 0.792 0.208 0.711
O 0.892 0.407 0.118
O 0.942 0.058 0.083

Calculated values
DOS(E_F) = 0.944 states/eV per cell
Uncorrected formation energy = -0.998 eV per atom
Total DFT energy (no corrections) = -120.26 eV/cell
Crystal system = orthorhombic

---

Entry 4:
The following is a DFT calculation (PBE) of an optimized crystal structure of MgAlSe.

Cell lengths 3.683, 3.683, 5.475 Å; angles 90.00, 90.00, 120.00 degrees
Sites, in units of the cell vectors:
Mg 0.000 0.000 0.000
Al 0.333 0.667 0.623
Se 0.667 0.333 0.333

Calculated values
DOS(E_F) = 0.633 states/eV per cell
Uncorrected formation energy = -0.406 eV per atom
Total DFT energy (no corrections) = -10.04 eV/cell
Crystal system = trigonal

---

Entry 5:
The following is a DFT calculation (PBE) of an optimized crystal structure of Dy2ErTm3As6.

Cell lengths 9.132, 9.132, 8.167 Å; angles 102.89, 102.89, 25.85 degrees
Sites, in units of the cell vectors:
Dy 0.166 0.166 0.333
Dy 0.834 0.834 0.667
Er 0.500 0.500 0.000
Tm 0.167 0.167 0.833
Tm 0.500 0.500 0.500
Tm 0.833 0.833 0.167
As 0.001 0.001 0.750
As 0.333 0.333 0.919
As 0.334 0.334 0.415
As 0.666 0.666 0.585
As 0.667 0.667 0.081
As 0.999 0.999 0.250

Calculated values
DOS(E_F) = 1.839 states/eV per cell
Total DFT energy (no corrections) = -73.29 eV/cell
Crystal system = monoclinic
Formation energy = -1.518 eV/atom

---

Entry 6:
The following is a DFT calculation (PBE) of an optimized crystal structure of CrCoSe2.

Cell lengths 4.520, 4.520, 4.520 Å; angles 60.00, 60.00, 60.00 degrees
Sites, in units of the cell vectors:
Cr 0.000 0.000 0.000
Co 0.750 0.750 0.750
Se 0.250 0.250 0.250
Se 0.500 0.500 0.500

Calculated values
DOS(E_F) = 4.042 states/eV per cell
Uncorrected formation energy = 0.657 eV per atom
Total DFT energy (no corrections) = -21.07 eV/cell
Crystal system = cubic

---

Entry 7:
The following is a DFT calculation (PBE) of an optimized crystal structure of Li2TlPb6.

Cell lengths 9.663, 9.663, 9.663 Å; angles 159.16, 123.39, 60.99 degrees
Sites, in units of the cell vectors:
Li 0.146 0.146 0.000
Li 0.854 0.854 0.000
Tl 0.500 0.000 0.500
Pb 0.146 0.324 0.822
Pb 0.171 0.500 0.671
Pb 0.499 0.676 0.822
Pb 0.501 0.324 0.178
Pb 0.829 0.500 0.329
Pb 0.854 0.676 0.178

Calculated values
DOS(E_F) = 4.649 states/eV per cell
Total DFT energy (no corrections) = -28.91 eV/cell
Crystal system = orthorhombic
Formation energy = -0.052 eV/atom

---

Entry 8:
The following is a DFT calculation (PBE) of an optimized crystal structure of Hf2PaCu9.

Cell lengths 8.520, 8.520, 8.520 Å; angles 34.76, 34.76, 34.76 degrees
Sites, in units of the cell vectors:
Hf 0.148 0.148 0.148
Hf 0.852 0.852 0.852
Pa 0.000 0.000 0.000
Cu 0.082 0.586 0.586
Cu 0.333 0.333 0.333
Cu 0.414 0.414 0.918
Cu 0.414 0.918 0.414
Cu 0.500 0.500 0.500
Cu 0.586 0.082 0.586
Cu 0.586 0.586 0.082
Cu 0.667 0.667 0.667
Cu 0.918 0.414 0.414

Calculated values
DOS(E_F) = 11.755 states/eV per cell
Total DFT energy (no corrections) = -66.90 eV/cell
Crystal system = trigonal
Formation energy = -0.053 eV/atom

---

Entry 9:
The following is a DFT calculation (PBE) of an optimized crystal structure of CePm2Sn.

Cell lengths 4.957, 4.957, 4.713 Å; angles 90.00, 90.00, 90.00 degrees
Sites, in units of the cell vectors:
Ce 0.000 0.000 0.000
Pm 0.000 0.500 0.500
Pm 0.500 0.000 0.500
Sn 0.500 0.500 0.000

Calculated values
DOS(E_F) = 7.534 states/eV per cell
Total DFT energy (no corrections) = -21.07 eV/cell
Crystal system = tetragonal
Formation energy = -0.409 eV/atom

---

Entry 10:
The following is a DFT calculation (PBE) of an optimized crystal structure of Sm8Rh5Au.

Cell lengths 7.651, 7.651, 7.651 Å; angles 109.17, 109.17, 110.07 degrees
Sites, in units of the cell vectors:
Sm 0.000 0.884 0.246
Sm 0.116 0.362 0.116
Sm 0.124 0.373 0.636
Sm 0.246 0.000 0.884
Sm 0.512 0.876 0.249
Sm 0.627 0.263 0.751
Sm 0.638 0.754 0.754
Sm 0.737 0.488 0.364
Rh 0.005 0.629 0.883
Rh 0.371 0.255 0.376
Rh 0.500 0.500 0.000
Rh 0.745 0.122 0.117
Rh 0.878 0.995 0.624
Au 0.250 0.750 0.500

Calculated values
DOS(E_F) = 3.551 states/eV per cell
Total DFT energy (no corrections) = -87.42 eV/cell
Crystal system = tetragonal
Formation energy = -0.688 eV/atom

---

Entry 11:
The following is a DFT calculation (PBE) of an optimized crystal structure of PrPaCuGe.

Cell lengths 5.059, 5.059, 5.059 Å; angles 60.00, 60.00, 60.00 degrees
Sites, in units of the cell vectors:
Pr 0.000 0.000 0.000
Pa 0.500 0.500 0.500
Cu 0.250 0.250 0.250
Ge 0.750 0.750 0.750

Calculated values
DOS(E_F) = 7.604 states/eV per cell
Total DFT energy (no corrections) = -23.48 eV/cell
Crystal system = cubic
Formation energy = -0.123 eV/atom

---

Entry 12:
The following is a DFT calculation (PBE) of an optimized crystal structure of SrCuAgSe2.

Cell lengths 6.940, 6.940, 9.886 Å; angles 120.93, 120.93, 35.91 degrees
Sites, in units of the cell vectors:
Sr 0.199 0.199 0.161
Sr 0.801 0.801 0.839
Cu 0.045 0.045 0.728
Cu 0.955 0.955 0.272
Ag 0.372 0.372 0.604
Ag 0.628 0.628 0.396
Se 0.156 0.156 0.585
Se 0.417 0.417 0.117
Se 0.583 0.583 0.883
Se 0.844 0.844 0.415

Calculated values
DOS(E_F) = 0.081 states/eV per cell
Uncorrected formation energy = -0.797 eV per atom
Total DFT energy (no corrections) = -39.17 eV/cell
Crystal system = monoclinic

---

Entry 13:
The following is a DFT calculation (PBE) of an optimized crystal structure of NdPu6.

Cell lengths 5.804, 5.804, 5.804 Å; angles 109.47, 109.47, 109.47 degrees
Sites, in units of the cell vectors:
Nd 0.000 0.000 0.000
Pu 0.250 0.500 0.750
Pu 0.250 0.750 0.500
Pu 0.500 0.250 0.750
Pu 0.500 0.750 0.250
Pu 0.750 0.250 0.500
Pu 0.750 0.500 0.250

Calculated values
DOS(E_F) = 16.844 states/eV per cell
Total DFT energy (no corrections) = -89.91 eV/cell
Crystal system = cubic
Formation energy = 0.121 eV/atom

---

Entry 14:
The following is a DFT calculation (PBE) of an optimized crystal structure of SrTcMo.

Cell lengths 6.424, 6.424, 6.424 Å; angles 149.08, 149.08, 44.29 degrees
Sites, in units of the cell vectors:
Sr 0.000 0.000 0.000
Tc 0.719 0.719 0.000
Mo 0.279 0.279 0.000

Calculated values
DOS(E_F) = 3.448 states/eV per cell
Total DFT energy (no corrections) = -21.20 eV/cell
Crystal system = tetragonal
Formation energy = 0.561 eV/atom

---

Entry 15:
The following is a DFT calculation (PBE) of an optimized crystal structure of K3TiF8.

Cell lengths 7.087, 7.087, 7.087 Å; angles 131.03, 131.03, 71.77 degrees
Sites, in units of the cell vectors:
K 0.000 0.000 0.000
K 0.250 0.750 0.500
K 0.750 0.250 0.500
Ti 0.500 0.500 0.000
F 0.197 0.197 0.599
F 0.197 0.598 0.000
F 0.402 0.402 0.599
F 0.402 0.803 0.000
F 0.598 0.197 0.000
F 0.598 0.598 0.401
F 0.803 0.402 0.000
F 0.803 0.803 0.401

Calculated values
DOS(E_F) = 9.031 states/eV per cell
Uncorrected formation energy = -2.749 eV per atom
Total DFT energy (no corrections) = -59.14 eV/cell
Crystal system = tetragonal

---

Entry 16:
The following is a DFT calculation (PBE) of an optimized crystal structure of Rb2SnPtBr6.

Cell lengths 7.808, 7.808, 7.808 Å; angles 119.96, 119.96, 90.07 degrees
Sites, in units of the cell vectors:
Rb 0.250 0.750 0.500
Rb 0.750 0.250 0.500
Sn 0.000 0.000 0.000
Pt 0.500 0.500 0.000
Br 0.260 0.260 0.520
Br 0.260 0.740 0.000
Br 0.261 0.261 0.000
Br 0.739 0.739 0.000
Br 0.740 0.260 0.000
Br 0.740 0.740 0.480

Calculated values
DOS(E_F) = 3.113 states/eV per cell
Uncorrected formation energy = -0.939 eV per atom
Total DFT energy (no corrections) = -31.40 eV/cell
Crystal system = tetragonal

---

Entry 17:
The following is a DFT calculation (PBE) of an optimized crystal structure of CsSn4S7.

Cell lengths 17.374, 6.461, 6.598 Å; angles 90.00, 90.00, 90.00 degrees
Sites, in units of the cell vectors:
Cs 0.000 0.216 0.000
Cs 0.500 0.784 0.500
Sn 0.106 0.800 0.446
Sn 0.248 0.733 0.983
Sn 0.252 0.267 0.483
Sn 0.394 0.200 0.946
Sn 0.606 0.200 0.946
Sn 0.748 0.267 0.483
Sn 0.752 0.733 0.983
Sn 0.894 0.800 0.446
S 0.000 0.641 0.633
S 0.096 0.714 0.094
S 0.099 0.166 0.506
S 0.232 0.668 0.571
S 0.268 0.332 0.071
S 0.401 0.834 0.006
S 0.404 0.286 0.594
S 0.500 0.359 0.133
S 0.596 0.286 0.594
S 0.599 0.834 0.006
S 0.732 0.332 0.071
S 0.768 0.668 0.571
S 0.901 0.166 0.506
S 0.904 0.714 0.094

Calculated values
DOS(E_F) = 5.999 states/eV per cell
Uncorrected formation energy = -0.449 eV per atom
Total DFT energy (no corrections) = -102.30 eV/cell
Crystal system = orthorhombic

---

Entry 18:
The following is a DFT calculation (PBE) of an optimized crystal structure of Y2ZrN3.

Cell lengths 7.589, 7.589, 7.589 Å; angles 154.09, 154.09, 36.96 degrees
Sites, in units of the cell vectors:
Y 0.165 0.165 0.000
Y 0.835 0.835 0.000
Zr 0.500 0.500 0.000
N 0.000 0.000 0.000
N 0.340 0.340 0.000
N 0.660 0.660 0.000

Calculated values
DOS(E_F) = 0.955 states/eV per cell
Uncorrected formation energy = -1.686 eV per atom
Total DFT energy (no corrections) = -56.57 eV/cell
Crystal system = tetragonal

---

Entry 19:
The following is a DFT calculation (PBE) of an optimized crystal structure of YAlNi2.

Cell lengths 5.531, 5.531, 6.786 Å; angles 90.00, 90.00, 140.92 degrees
Sites, in units of the cell vectors:
Y 0.053 0.947 0.750
Y 0.947 0.053 0.250
Al 0.226 0.774 0.250
Al 0.774 0.226 0.750
Ni 0.357 0.643 0.556
Ni 0.357 0.643 0.944
Ni 0.643 0.357 0.056
Ni 0.643 0.357 0.444

Calculated values
DOS(E_F) = 4.134 states/eV per cell
Total DFT energy (no corrections) = -47.32 eV/cell
Crystal system = orthorhombic
Formation energy = -0.473 eV/atom

---

Entry 20:
The following is a DFT calculation (PBE) of an optimized crystal structure of Tb5Cu2Ag.

Cell lengths 8.499, 8.499, 8.499 Å; angles 124.62, 124.62, 82.17 degrees
Sites, in units of the cell vectors:
Tb 0.000 0.000 0.000
Tb 0.016 0.516 0.817
Tb 0.199 0.016 0.500
Tb 0.301 0.801 0.817
Tb 0.484 0.301 0.500
Tb 0.500 0.500 0.000
Tb 0.516 0.699 0.500
Tb 0.699 0.199 0.183
Tb 0.801 0.984 0.500
Tb 0.984 0.484 0.183
Cu 0.125 0.375 0.500
Cu 0.375 0.875 0.250
Cu 0.625 0.125 0.750
Cu 0.875 0.625 0.500
Ag 0.250 0.250 0.000
Ag 0.750 0.750 0.000

Calculated values
DOS(E_F) = 19.525 states/eV per cell
Total DFT energy (no corrections) = -71.00 eV/cell
Crystal system = tetragonal
Formation energy = -0.163 eV/atom

---

Entry 21:
The following is a DFT calculation (PBE) of an optimized crystal structure of K6AgO.

Cell lengths 7.661, 7.661, 7.320 Å; angles 98.06, 98.06, 114.90 degrees
Sites, in units of the cell vectors:
K 0.012 0.303 0.242
K 0.255 0.255 0.842
K 0.303 0.012 0.242
K 0.697 0.988 0.758
K 0.745 0.745 0.158
K 0.988 0.697 0.758
Ag 0.500 0.500 0.500
O 0.000 0.000 0.000

Calculated values
DOS(E_F) = 3.272 states/eV per cell
Uncorrected formation energy = -0.361 eV per atom
Total DFT energy (no corrections) = -17.28 eV/cell
Crystal system = monoclinic

---

Entry 22:
The following is a DFT calculation (PBE) of an optimized crystal structure of CdAsSCl2.

Cell lengths 4.994, 4.994, 5.368 Å; angles 90.00, 90.00, 90.00 degrees
Sites, in units of the cell vectors:
Cd 0.000 0.000 0.000
As 0.500 0.500 0.500
S 0.000 0.000 0.500
Cl 0.000 0.500 0.000
Cl 0.500 0.000 0.000

Calculated values
DOS(E_F) = 2.910 states/eV per cell
Uncorrected formation energy = 0.243 eV per atom
Total DFT energy (no corrections) = -12.17 eV/cell
Crystal system = tetragonal

---

Entry 23:
The following is a DFT calculation (PBE) of an optimized crystal structure of Na2Cu2Se.

Cell lengths 6.934, 6.934, 6.934 Å; angles 146.43, 146.43, 48.21 degrees
Sites, in units of the cell vectors:
Na 0.250 0.750 0.500
Na 0.750 0.250 0.500
Cu 0.090 0.090 0.000
Cu 0.910 0.910 0.000
Se 0.500 0.500 0.000

Calculated values
DOS(E_F) = 2.093 states/eV per cell
Uncorrected formation energy = 0.405 eV per atom
Total DFT energy (no corrections) = -12.29 eV/cell
Crystal system = tetragonal

---

Entry 24:
The following is a DFT calculation (PBE) of an optimized crystal structure of KRbV2Mo.

Cell lengths 5.088, 5.088, 5.317 Å; angles 90.00, 90.00, 90.00 degrees
Sites, in units of the cell vectors:
K 0.000 0.000 0.000
Rb 0.000 0.000 0.500
V 0.000 0.500 0.500
V 0.500 0.000 0.500
Mo 0.500 0.500 0.000

Calculated values
DOS(E_F) = 9.597 states/eV per cell
Total DFT energy (no corrections) = -16.25 eV/cell
Crystal system = tetragonal
Formation energy = 2.978 eV/atom